First-principles (PBE-GGA) data for crystalline CuHgTe3 at its relaxed geometry, as listed in the Alexandria database.

Structure (CIF):
```
data_CuHgTe3
_symmetry_space_group_name_H-M 'P m -3 m'
_symmetry_Int_Tables_number 221
_symmetry_space_group_name_Hall '-P 4 2 3'
_cell_length_a 5.195
_cell_length_b 5.195
_cell_length_c 5.195
_cell_angle_alpha 90.00
_cell_angle_beta 90.00
_cell_angle_gamma 90.00
loop_
_atom_site_label
_atom_site_fract_x
_atom_site_fract_y
_atom_site_fract_z
Cu1 0.000 0.000 0.000
Hg1 0.500 0.500 0.500
Te1 0.000 0.000 0.500
```

## Properties
Energy   -11.8 eV per cell
Mass density   7.7 g cm⁻³
ΔE_f (raw)   9.184 kcal/mol of atoms

First-principles (PBE-GGA) data for crystalline La4TlAs at its relaxed geometry, as listed in the Alexandria database.

Structure (CIF):
```
data_La4TlAs
_symmetry_space_group_name_H-M 'F -4 3 m'
_symmetry_Int_Tables_number 216
_symmetry_space_group_name_Hall 'F -4 2 3'
_cell_length_a 9.063
_cell_length_b 9.063
_cell_length_c 9.063
_cell_angle_alpha 90.00
_cell_angle_beta 90.00
_cell_angle_gamma 90.00
loop_
_atom_site_label
_atom_site_fract_x
_atom_site_fract_y
_atom_site_fract_z
La1 0.125 0.125 0.125
Tl1 0.250 0.250 0.750
As1 0.000 0.000 0.500
```

## Properties
ΔE_f   0.38 eV/f.u.
Energy   -105.4 eV per cell
Mass density   7.4 g cm⁻³

First-principles (PBE-GGA) data for crystalline ZnIn2F6 at its relaxed geometry, as listed in the Alexandria database.

Structure (CIF):
```
data_ZnIn2F6
_symmetry_space_group_name_H-M 'C 1 2/c 1'
_symmetry_Int_Tables_number 15
_symmetry_space_group_name_Hall '-C 2yc'
_cell_length_a 9.346
_cell_length_b 11.968
_cell_length_c 4.776
_cell_angle_alpha 90.00
_cell_angle_beta 100.48
_cell_angle_gamma 90.00
loop_
_atom_site_label
_atom_site_fract_x
_atom_site_fract_y
_atom_site_fract_z
Zn1 0.000 0.088 0.250
In1 0.164 0.387 0.064
F1 0.094 0.402 0.533
F2 0.128 0.050 0.626
F3 0.140 0.200 0.115
```

## Properties
Energy   -148.1 eV per cell
Mass density   5.2 g cm⁻³
ΔE_f (raw)   -48.800 kcal/mol of atoms

First-principles (PBE-GGA) data for crystalline PrHo2Pu at its relaxed geometry, as listed in the Alexandria database.

Structure (CIF):
```
data_PrHo2Pu
_symmetry_space_group_name_H-M 'F m -3 m'
_symmetry_Int_Tables_number 225
_symmetry_space_group_name_Hall '-F 4 2 3'
_cell_length_a 7.979
_cell_length_b 7.979
_cell_length_c 7.979
_cell_angle_alpha 90.00
_cell_angle_beta 90.00
_cell_angle_gamma 90.00
loop_
_atom_site_label
_atom_site_fract_x
_atom_site_fract_y
_atom_site_fract_z
Pr1 0.000 0.000 0.000
Ho1 0.250 0.250 0.250
Pu1 0.000 0.000 0.500
```

## Properties
ΔE_f   0.85 eV/f.u.
Energy   -109.7 eV per cell
Mass density   9.3 g cm⁻³

First-principles (PBE-GGA) data for crystalline Pu3P at its relaxed geometry, as listed in the Alexandria database.

Structure (CIF):
```
data_Pu3P
_symmetry_space_group_name_H-M 'P m -3 m'
_symmetry_Int_Tables_number 221
_symmetry_space_group_name_Hall '-P 4 2 3'
_cell_length_a 4.407
_cell_length_b 4.407
_cell_length_c 4.407
_cell_angle_alpha 90.00
_cell_angle_beta 90.00
_cell_angle_gamma 90.00
loop_
_atom_site_label
_atom_site_fract_x
_atom_site_fract_y
_atom_site_fract_z
Pu1 0.000 0.000 0.500
P1 0.500 0.500 0.500
```

## Properties
ΔE_f   -1.32 eV/f.u.
Energy   -49.7 eV per cell
Mass density   14.8 g cm⁻³

First-principles (PBE-GGA) data for crystalline ScSbAuI2 at its relaxed geometry, as listed in the Alexandria database.

Structure (CIF):
```
data_ScSbAuI2
_symmetry_space_group_name_H-M 'P 4/m m m'
_symmetry_Int_Tables_number 123
_symmetry_space_group_name_Hall '-P 4 2'
_cell_length_a 5.492
_cell_length_b 5.492
_cell_length_c 5.950
_cell_angle_alpha 90.00
_cell_angle_beta 90.00
_cell_angle_gamma 90.00
loop_
_atom_site_label
_atom_site_fract_x
_atom_site_fract_y
_atom_site_fract_z
Sc1 0.000 0.000 0.000
Sb1 0.000 0.000 0.500
Au1 0.500 0.500 0.500
I1 0.000 0.500 0.000
```

## Properties
Energy   -16.7 eV per cell
Mass density   5.7 g cm⁻³
ΔE_f (raw)   0.493 kcal/mol of atoms